(1)
Ho5TlCu2 | PBE | optimized geometry

POSCAR file:
```
Ho5TlCu2
1.0
-3.935 3.935 6.508
3.935 -3.935 6.508
3.935 3.935 -6.508
Ho Tl Cu
10 2 4
direct
0.000 0.000 0.000 Ho
0.015 0.515 0.813 Ho
0.202 0.015 0.500 Ho
0.298 0.798 0.813 Ho
0.485 0.298 0.500 Ho
0.500 0.500 0.000 Ho
0.515 0.702 0.500 Ho
0.702 0.202 0.187 Ho
0.798 0.985 0.500 Ho
0.985 0.485 0.187 Ho
0.250 0.250 0.000 Tl
0.750 0.750 0.000 Tl
0.129 0.371 0.500 Cu
0.371 0.871 0.242 Cu
0.629 0.129 0.758 Cu
0.871 0.629 0.500 Cu
```

Computed properties:
* total magnetization: 0.001 Bohr magnetons per cell
* final energy: -4.395 eV per atom
* energy of formation: -0.214 eV/atom

(2)
Ho3Tl2Cu | PBE | optimized geometry

POSCAR file:
```
Ho3Tl2Cu
1.0
7.575 -3.144 0.000
7.575 3.144 0.000
-1.543 0.000 6.429
Ho Tl Cu
6 4 2
direct
0.143 0.857 0.750 Ho
0.246 0.438 0.404 Ho
0.438 0.246 0.904 Ho
0.562 0.754 0.096 Ho
0.754 0.562 0.596 Ho
0.857 0.143 0.250 Ho
0.059 0.269 0.044 Tl
0.269 0.059 0.544 Tl
0.731 0.941 0.456 Tl
0.941 0.731 0.956 Tl
0.363 0.637 0.250 Cu
0.637 0.363 0.750 Cu
```

Computed properties:
* total magnetization: 0.000 Bohr magnetons per cell
* final energy: -3.945 eV per atom
* offset from the most stable computed form: 0.123 eV/atom
* energy of formation: -0.184 eV/atom

(3)
Ho2TlCu | PBE | optimized geometry

POSCAR file:
```
Ho2TlCu
1.0
3.552 0.000 0.000
0.000 3.552 0.000
0.000 0.000 7.567
Ho Tl Cu
2 1 1
direct
0.000 0.000 0.221 Ho
0.000 0.000 0.779 Ho
0.500 0.500 0.500 Tl
0.500 0.500 0.000 Cu
```

Computed properties:
* total magnetization: 0.000 Bohr magnetons per cell
* final energy: -4.194 eV per atom
* energy of formation: -0.290 eV/atom